Below is crystalline Li2PuCdAu4 at its relaxed geometry, with properties calculated at the PBE level.

Computed properties:
- theoretical density (g cm⁻³) = 12.02
- ΔH_f (0 K) (eV per atom) = -0.389

a = 4.558 Å, b = 4.558 Å, c = 9.273 Å
α = 75.77°, β = 75.77°, γ = 60.00°
Each line ends with the local moment (μB).
Sites, in units of the cell vectors:
Li1 0.765 0.765 0.705  0.01
Li2 0.235 0.235 0.295  0.01
Pu1 0.000 0.000 0.000  5.26
Cd1 0.500 0.500 0.500  0.00
Au1 0.393 0.393 0.822  -0.01
Au2 0.882 0.882 0.355  0.00
Au3 0.118 0.118 0.645  0.00
Au4 0.607 0.607 0.178  -0.01